# 1
DFT (GGA-PBE) results for Hg2TeAu2 after structural relaxation.

The structure in POSCAR format:
```
Hg2TeAu2
1.0
-0.077 -5.035 5.568
-4.211 -4.581 -4.200
3.466 -1.766 -1.549
Te Au Hg
2 4 4
Cartesian
0.000 0.000 0.000
-2.144 -4.808 0.684
-3.663 -5.784 -1.603
-2.747 -7.263 2.132
-0.625 -3.832 2.971
-1.540 -2.353 -0.765
-1.066 -4.730 -2.653
-1.847 -8.055 -0.610
0.245 -6.652 2.472
1.026 -3.327 0.429
```

Results
ρ	13.0	g cm⁻³
raw formation energy	0.62	eV/f.u.
spin magnetization	0.0	μB per cell


# 2
DFT (GGA-PBE) results for Hg2TeAu after structural relaxation.

The structure in POSCAR format:
```
Hg2TeAu
1.0
-3.386 -1.977 1.919
0.770 -2.503 3.493
-1.736 3.654 5.804
Te Au Hg
1 1 2
Cartesian
-2.124 -0.744 5.362
-1.106 -0.055 2.903
-2.635 -4.375 5.499
-3.276 -0.544 8.471
```

Results
ρ	10.9	g cm⁻³
raw formation energy	0.03	eV/f.u.
spin magnetization	0.0	μB per cell


# 3
DFT (GGA-PBE) results for HgTeAu after structural relaxation.

The structure in POSCAR format:
```
HgTeAu
1.0
7.240 0.000 0.000
0.000 6.451 -0.246
0.000 -2.206 7.740
Hg Au Te
4 4 4
Cartesian
3.368 3.489 4.994
3.872 0.755 2.500
0.252 4.592 1.124
6.988 -0.348 6.370
1.912 2.245 0.711
5.327 1.999 6.783
5.532 3.102 2.913
1.708 1.142 4.581
7.039 3.305 5.166
3.820 4.408 1.296
0.200 0.939 2.328
3.419 -0.164 6.198
```

Results
ρ	9.8	g cm⁻³
raw formation energy	-0.04	eV/f.u.
spin magnetization	0.0	μB per cell


# 4
DFT (GGA-PBE) results for Hg3TeAu after structural relaxation.

The structure in POSCAR format:
```
Hg3TeAu
1.0
5.364 0.000 0.000
0.000 5.364 0.000
0.000 0.000 5.364
Te Au Hg
1 1 3
Cartesian
2.682 2.682 2.682
0.000 0.000 0.000
0.000 2.682 0.000
0.000 0.000 2.682
2.682 0.000 0.000
```

Results
ρ	10.0	g cm⁻³
raw formation energy	1.14	eV/f.u.
spin magnetization	0.0	μB per cell


# 5
DFT (GGA-PBE) results for HgTe3Au2 after structural relaxation.

The structure in POSCAR format:
```
HgTe3Au2
1.0
4.289 0.000 0.000
0.000 6.727 0.229
-2.145 -1.058 12.230
Hg Te Au
2 6 4
Cartesian
0.000 -0.564 8.648
2.145 6.233 3.812
0.000 1.246 6.293
0.000 5.145 2.106
0.000 3.210 10.436
2.145 4.422 6.166
2.145 2.459 2.024
2.145 0.524 10.353
0.000 3.584 7.768
2.145 2.084 4.692
2.145 4.579 11.561
0.000 1.089 0.899
```

Results
ρ	9.2	g cm⁻³
raw formation energy	0.14	eV/f.u.
spin magnetization	0.0	μB per cell


# 6
DFT (GGA-PBE) results for HgTe2Au2 after structural relaxation.

The structure in POSCAR format:
```
HgTe2Au2
1.0
5.486 0.000 0.000
0.000 5.486 0.000
2.743 2.743 4.469
Te Au Hg
2 2 1
Cartesian
5.486 2.743 2.235
2.743 5.486 2.235
2.743 2.743 1.508
5.486 5.486 2.961
0.000 0.000 0.000
```

Results
ρ	10.5	g cm⁻³
raw formation energy	0.43	eV/f.u.
spin magnetization	0.0	μB per cell